Entry from Alexandria via LeMat-Bulk: a relaxed Rb4Ag2Br crystal (PBE).

Its crystal system is tetragonal. Its size of the total moment is 0.000 Bohr magnetons per cell. For the formation energy from raw total energies, the calculation gives -385.6 meV per atom. For the total DFT energy (no corrections), the calculation gives -1.992 eV per atom.

It has space group I4/mmm (No. 139), with a = 6.7664 Å, b = 6.7664 Å, c = 16.8906 Å, α = 90.00°, β = 90.00° and γ = 90.00°. The distinct sites, in fractional coordinates, are Rb at (0.0000, 0.0000, 0.2030), Rb at (0.0000, 0.5000, 0.0000), Ag at (0.0000, 0.0000, 0.4150) and Br at (0.0000, 0.0000, 0.0000).